The following is a PBE-GGA calculation of ZrZnCu after structural relaxation, from Alexandria.

```
data_ZrZnCu
_chemical_formula_sum 'Zr1 Zn1 Cu1'
_space_group_name_H-M_alt 'P 1'
_space_group_IT_number 1
_space_group_name_Hall 'P 1'
_cell_length_a 4.264
_cell_length_b 4.264
_cell_length_c 4.264
_cell_angle_alpha 60.00
_cell_angle_beta 60.00
_cell_angle_gamma 60.00
loop_
_atom_site_label
_atom_site_type_symbol
_atom_site_fract_x
_atom_site_fract_y
_atom_site_fract_z
_atom_site_occupancy
Cu1 Cu 0.750 0.750 0.750 1
Zn1 Zn 0.000 0.000 0.000 1
Zr1 Zr 0.500 0.500 0.500 1
```

Results
Its crystal system is cubic. Its density of states at the Fermi level is 4.94 states/eV per cell. The value obtained for the calculated formation energy is -0.0231 eV/atom. The total energy comes out at -4.6625 eV per atom.

=====

The following is a PBE-GGA calculation of Nd2Ge3Rh5 after structural relaxation, from Alexandria.

```
data_Nd2Ge3Rh5
_chemical_formula_sum 'Nd4 Ge6 Rh10'
_space_group_name_H-M_alt 'P 1'
_space_group_IT_number 1
_space_group_name_Hall 'P 1'
_cell_length_a 4.193
_cell_length_b 6.745
_cell_length_c 12.690
_cell_angle_alpha 90.00
_cell_angle_beta 99.51
_cell_angle_gamma 90.00
loop_
_atom_site_label
_atom_site_type_symbol
_atom_site_fract_x
_atom_site_fract_y
_atom_site_fract_z
_atom_site_occupancy
Nd1 Nd 0.482 0.751 0.965 1
Nd2 Nd 0.175 0.742 0.351 1
Nd3 Nd 0.825 0.242 0.649 1
Nd4 Nd 0.518 0.251 0.035 1
Ge1 Ge 0.771 0.732 0.542 1
Ge2 Ge 0.613 0.497 0.226 1
Ge3 Ge 0.052 0.961 0.105 1
Ge4 Ge 0.229 0.232 0.458 1
Ge5 Ge 0.948 0.461 0.895 1
Ge6 Ge 0.387 0.997 0.774 1
Rh1 Rh 0.398 0.409 0.795 1
Rh2 Rh 0.291 0.526 0.583 1
Rh3 Rh 0.709 0.026 0.417 1
Rh4 Rh 0.130 0.223 0.260 1
Rh5 Rh 0.291 0.935 0.581 1
Rh6 Rh 0.941 0.089 0.881 1
Rh7 Rh 0.709 0.435 0.419 1
Rh8 Rh 0.870 0.723 0.740 1
Rh9 Rh 0.059 0.589 0.119 1
Rh10 Rh 0.602 0.909 0.205 1
```

Results
Its crystal system is orthorhombic. Its density of states at the Fermi level is 10.93 states/eV per cell. The value obtained for the calculated formation energy is -0.7057 eV/atom. The total energy comes out at -6.7202 eV per atom.

=====

The following is a PBE-GGA calculation of Ca3YPb after structural relaxation, from Alexandria.

```
data_Ca3YPb
_chemical_formula_sum 'Ca3 Y1 Pb1'
_space_group_name_H-M_alt 'P 1'
_space_group_IT_number 1
_space_group_name_Hall 'P 1'
_cell_length_a 6.043
_cell_length_b 6.043
_cell_length_c 6.043
_cell_angle_alpha 90.00
_cell_angle_beta 90.00
_cell_angle_gamma 90.00
loop_
_atom_site_label
_atom_site_type_symbol
_atom_site_fract_x
_atom_site_fract_y
_atom_site_fract_z
_atom_site_occupancy
Pb1 Pb 0.500 0.500 0.500 1
Y1 Y 0.000 0.000 0.000 1
Ca1 Ca 0.000 0.500 0.000 1
Ca2 Ca 0.000 0.000 0.500 1
Ca3 Ca 0.500 0.000 0.000 1
```

Results
Its crystal system is cubic. The value obtained for the offset from the most stable computed form is 59.3 kJ/mol of atoms. Its density of states at the Fermi level is 3.63 states/eV per cell. The value obtained for the calculated formation energy is 0.7882 eV/atom. The total energy comes out at -2.4472 eV per atom.

=====

The following is a PBE-GGA calculation of CsGaW3 after structural relaxation, from Alexandria.

```
data_CsGaW3
_chemical_formula_sum 'Cs1 Ga1 W3'
_space_group_name_H-M_alt 'P 1'
_space_group_IT_number 1
_space_group_name_Hall 'P 1'
_cell_length_a 4.954
_cell_length_b 4.954
_cell_length_c 4.954
_cell_angle_alpha 90.00
_cell_angle_beta 90.00
_cell_angle_gamma 90.00
loop_
_atom_site_label
_atom_site_type_symbol
_atom_site_fract_x
_atom_site_fract_y
_atom_site_fract_z
_atom_site_occupancy
Cs1 Cs 0.000 0.000 0.000 1
Ga1 Ga 0.500 0.500 0.500 1
W1 W 0.000 0.500 0.000 1
W2 W 0.000 0.000 0.500 1
W3 W 0.500 0.000 0.000 1
```

Results
Its crystal system is cubic. The value obtained for the offset from the most stable computed form is 133.1 kJ/mol of atoms. Its density of states at the Fermi level is 7.80 states/eV per cell. The value obtained for the calculated formation energy is 3.9631 eV/atom. The total energy comes out at -4.5849 eV per atom.

=====

The following is a PBE-GGA calculation of NaCdH2 after structural relaxation, from Alexandria.

```
data_NaCdH2
_chemical_formula_sum 'Na2 Cd2 H4'
_space_group_name_H-M_alt 'P 1'
_space_group_IT_number 1
_space_group_name_Hall 'P 1'
_cell_length_a 3.338
_cell_length_b 7.746
_cell_length_c 5.814
_cell_angle_alpha 113.25
_cell_angle_beta 90.00
_cell_angle_gamma 90.00
loop_
_atom_site_label
_atom_site_type_symbol
_atom_site_fract_x
_atom_site_fract_y
_atom_site_fract_z
_atom_site_occupancy
Na1 Na 0.250 0.825 0.579 1
Na2 Na 0.750 0.175 0.421 1
Cd1 Cd 0.250 0.341 0.988 1
Cd2 Cd 0.750 0.659 0.012 1
H1 H 0.750 0.859 0.322 1
H2 H 0.250 0.248 0.231 1
H3 H 0.750 0.752 0.769 1
H4 H 0.250 0.141 0.678 1
```

Results
Its crystal system is monoclinic. The value obtained for the offset from the most stable computed form is 0.0 kJ/mol of atoms. Its density of states at the Fermi level is 1.19 states/eV per cell. The total energy comes out at -2.2578 eV per atom.

=====

The following is a PBE-GGA calculation of TlAs2Pd2 after structural relaxation, from Alexandria.

```
data_TlAs2Pd2
_chemical_formula_sum 'Tl1 As2 Pd2'
_space_group_name_H-M_alt 'P 1'
_space_group_IT_number 1
_space_group_name_Hall 'P 1'
_cell_length_a 4.544
_cell_length_b 4.544
_cell_length_c 6.100
_cell_angle_alpha 68.13
_cell_angle_beta 68.13
_cell_angle_gamma 90.00
loop_
_atom_site_label
_atom_site_type_symbol
_atom_site_fract_x
_atom_site_fract_y
_atom_site_fract_z
_atom_site_occupancy
Tl1 Tl 0.000 0.000 0.000 1
As1 As 0.750 0.250 0.500 1
As2 As 0.250 0.750 0.500 1
Pd1 Pd 0.361 0.361 0.278 1
Pd2 Pd 0.639 0.639 0.722 1
```

Results
Its crystal system is tetragonal. The value obtained for the offset from the most stable computed form is 8.8 kJ/mol of atoms. Its density of states at the Fermi level is 2.18 states/eV per cell. The value obtained for the calculated formation energy is -0.1252 eV/atom. The total energy comes out at -4.5354 eV per atom.

=====

Question: Number 6 is which compound?
Answer: TlAs2Pd2